Material: GeIrPd3
Method: DFT, PBE
State: optimized geometry

a = 4.550 Å, b = 4.550 Å, c = 4.550 Å
α = 90.00°, β = 90.00°, γ = 90.00°
Fractional coordinates of all 5 atoms:
Ge 0.000 0.000 0.000
Ir 0.500 0.500 0.500
Pd 0.000 0.500 0.000
Pd 0.000 0.000 0.500
Pd 0.500 0.000 0.000

**N(E_F)**: 5.77 states/eV per cell
**Polymorph energy (0 for the lowest one)**: 0.0 meV/atom
**Magnetic moment**: 1.112 μB per formula unit
**Energy**: -4.99 eV/atom
**Energy of formation**: 0.8260 eV per atom